First-principles (PBE) data for a relaxed structure of YMg6BO8, as listed in the Alexandria database.

The structure in extended XYZ format:
```
16
Lattice="-2.223 -0.491 -3.732 3.243 -2.450 -1.610 -3.959 -7.433 3.337" Properties=species:S:1:pos:R:3 pbc="T T T"
O -2.990 -5.614 2.520
O -0.488 -3.344 -1.830
O 1.622 -1.225 -0.805
O -3.091 -3.962 -0.198
O -1.112 -0.245 -1.866
O -2.451 -7.030 -0.175
O -0.358 -4.941 0.863
O -0.969 -1.819 0.817
Mg 0.510 -1.470 -2.671
Mg -3.978 -5.628 0.550
Mg -2.204 -2.296 -0.945
Mg 0.529 -3.276 0.115
Mg -1.245 -6.607 1.611
Mg -1.470 -5.187 -1.003
B -1.979 -3.717 1.668
Y 0.000 0.000 0.000
```

Values from the calculation:
ΔE_f (raw)	-2.21	eV per atom
electronic total energy	-6.1048	eV/atom
magnetization	0.000	μB/cell
offset from the most stable computed form	49	meV/atom